1.
## LaPm2Dy9 (PBE)

Data for an optimized crystal structure of LaPm2Dy9.

Lattice parameters (Å, degrees): 5.059 5.059 15.189 90.00 90.00 90.00
Sites, in units of the cell vectors:
Pm: 0.000 0.000 0.334
Pm: 0.000 0.000 0.666
Dy: 0.000 0.500 0.169
Dy: 0.500 0.500 0.335
Dy: 0.000 0.500 0.831
Dy: 0.500 0.000 0.169
Dy: 0.000 0.500 0.500
Dy: 0.500 0.000 0.500
Dy: 0.500 0.000 0.831
Dy: 0.500 0.500 0.665
Dy: 0.500 0.500 0.000
La: 0.000 0.000 0.000

Computed properties:
Formation energy from the elements (eV per atom): 0.023
Theoretical density (kg/m³): 8078
Space-group type: No. 123
Size of the total moment (μB per cell): 0.0

2.
## OsSeIN2 (PBE)

Data for an optimized crystal structure of OsSeIN2.

Lattice parameters (Å, degrees): 3.783 3.783 7.397 90.00 90.00 90.00
Last column: magnetic moment on the atom in μB.
Sites, in units of the cell vectors:
N: 0.000 0.500 0.000  0.03
N: 0.500 0.000 0.000  0.03
I: 0.000 0.000 0.500  0.03
Os: 0.500 0.500 0.500  1.29
Se: 0.000 0.000 0.000  -0.01

Computed properties:
Theoretical density (kg/m³): 6652
ΔE_f (raw) (meV per atom): 2291
E above lowest polymorph (meV per atom): 1453.9
Space-group type: No. 123
Size of the total moment (μB per cell): 1.7

3.
## TaCoRh2 (PBE)

Data for an optimized crystal structure of TaCoRh2.

Lattice parameters (Å, degrees): 3.839 3.839 3.790 90.00 90.00 90.00
Sites, in units of the cell vectors:
Ta: 0.500 0.000 0.500
Co: 0.000 0.500 0.500
Rh: 0.500 0.500 0.000
Rh: 0.000 0.000 0.000

Computed properties:
Formation energy from the elements (eV per atom): -0.462
Theoretical density (kg/m³): 13249
Space-group type: No. 123
Size of the total moment (μB per cell): 0.0